No. 1
TcF PBE-GGA optimized geometry; magnetic moment = 8.010 μB per cell; volume = 27.5 Å³ per atom; space group = No. 217; offset from the most stable computed form = 0.864 eV/atom; formation energy (no corrections) = -173 meV per atom
1.0
7.605 0.000 0.000
0.000 7.605 0.000
0.000 0.000 7.605
F Tc
8 8
direct
0.236 0.764 0.764 F
0.764 0.236 0.764 F
0.736 0.264 0.264 F
0.264 0.264 0.736 F
0.764 0.764 0.236 F
0.736 0.736 0.736 F
0.236 0.236 0.236 F
0.264 0.736 0.264 F
0.613 0.613 0.387 Tc
0.387 0.387 0.387 Tc
0.387 0.613 0.613 Tc
0.613 0.387 0.613 Tc
0.113 0.113 0.887 Tc
0.113 0.887 0.113 Tc
0.887 0.113 0.113 Tc
0.887 0.887 0.887 Tc

=====

No. 2
Ce8Ge3PBr4 PBE-GGA optimized geometry; magnetic moment = 6.763 μB per cell; volume = 27.1 Å³ per atom; space group = No. 166; formation energy (no corrections) = -1111 meV per atom
1.0
-6.581 4.672 -2.769
-4.637 -7.022 -0.827
3.712 1.855 7.455
Ce Br Ge P
8 4 3 1
direct
0.745 0.735 0.490 Ce
0.752 0.728 0.990 Ce
0.238 0.728 0.476 Ce
0.255 0.265 0.510 Ce
0.762 0.272 0.524 Ce
0.238 0.728 0.990 Ce
0.762 0.272 0.010 Ce
0.248 0.272 0.010 Ce
0.000 0.000 0.500 Br
0.000 0.000 0.000 Br
0.500 0.000 0.000 Br
0.500 0.000 0.500 Br
0.500 0.500 0.000 Ge
0.500 0.500 0.500 Ge
0.000 0.500 0.500 Ge
0.000 0.500 0.000 P

=====

No. 3
LiY3U3Se8 PBE-GGA optimized geometry; magnetic moment = 8.303 μB per cell; volume = 25.2 Å³ per atom; space group = No. 166; formation energy (no corrections) = -1426 meV per atom
1.0
8.054 0.000 0.000
-4.027 6.974 -0.024
0.000 -4.626 6.748
U Y Se Li
3 3 8 1
direct
0.500 0.500 0.500 U
0.500 0.000 0.500 U
0.000 0.500 0.500 U
0.000 0.000 0.000 Y
0.500 0.500 0.000 Y
0.000 0.500 0.000 Y
0.752 0.505 0.252 Se
0.751 0.502 0.754 Se
0.248 0.000 0.252 Se
0.249 0.498 0.246 Se
0.752 0.000 0.252 Se
0.248 0.495 0.748 Se
0.248 0.000 0.748 Se
0.752 0.000 0.748 Se
0.000 0.000 0.500 Li

=====

No. 4
Rb3TeIr PBE-GGA optimized geometry; magnetic moment = 2.000 μB per cell; volume = 49.0 Å³ per atom; space group = No. 221; formation energy (no corrections) = 409 meV per atom
1.0
6.256 0.000 0.000
0.000 6.256 0.000
0.000 0.000 6.256
Rb Te Ir
3 1 1
direct
0.500 0.000 0.000 Rb
0.000 0.000 0.500 Rb
0.000 0.500 0.000 Rb
0.500 0.500 0.500 Te
0.000 0.000 0.000 Ir

=====

No. 5
Tb4CdOs PBE-GGA optimized geometry; magnetic moment = 0.000 μB per cell; volume = 28.0 Å³ per atom; space group = No. 15; offset from the most stable computed form = 0.016 eV/atom
1.0
0.130 6.139 -0.845
-6.815 -4.127 -4.450
-0.496 -0.217 7.794
Tb Os Cd
8 2 2
direct
0.771 0.724 0.660 Tb
0.611 0.064 0.340 Tb
0.907 0.800 0.156 Tb
0.250 0.643 0.844 Tb
0.229 0.276 0.340 Tb
0.750 0.357 0.156 Tb
0.093 0.200 0.844 Tb
0.389 0.936 0.660 Tb
0.249 0.999 0.999 Os
0.751 0.001 0.001 Os
0.625 0.375 0.751 Cd
0.375 0.625 0.249 Cd

=====

No. 6
K2Tl6CdPt PBE-GGA optimized geometry; electronic total energy = -2.38 eV/atom; magnetic moment = 0.000 μB per cell; volume = 33.5 Å³ per atom; space group = No. 166
1.0
7.728 0.000 0.000
3.864 6.692 0.000
3.864 2.231 12.962
Tl K Cd Pt
12 4 2 2
direct
0.335 0.919 0.411 Tl
0.081 0.665 0.589 Tl
0.220 0.220 0.907 Tl
0.780 0.780 0.093 Tl
0.347 0.780 0.093 Tl
0.665 0.665 0.589 Tl
0.919 0.335 0.411 Tl
0.665 0.081 0.589 Tl
0.653 0.220 0.907 Tl
0.780 0.347 0.093 Tl
0.220 0.653 0.907 Tl
0.335 0.335 0.411 Tl
0.721 0.721 0.837 K
0.279 0.279 0.163 K
0.895 0.895 0.314 K
0.105 0.105 0.686 K
0.427 0.427 0.720 Cd
0.573 0.573 0.280 Cd
0.500 0.500 0.500 Pt
0.000 0.000 0.000 Pt

=====

No. 7
TiTcRh3 PBE-GGA optimized geometry; magnetic moment = 0.000 μB per cell; volume = 19.8 Å³ per atom; space group = No. 221; offset from the most stable computed form = 0.218 eV/atom
1.0
-1.922 1.455 -3.950
-4.104 -1.614 1.402
-0.937 4.085 1.961
Tc Rh Ti
1 3 1
direct
0.000 0.000 0.000 Tc
0.000 0.000 0.500 Rh
0.500 0.000 0.000 Rh
0.000 0.500 0.000 Rh
0.500 0.500 0.500 Ti

=====

No. 8
AgP3 PBE-GGA optimized geometry; magnetic moment = 0.000 μB per cell; volume = 15.9 Å³ per atom; space group = No. 123; offset from the most stable computed form = 0.452 eV/atom
1.0
4.877 0.001 0.000
-0.001 4.877 0.000
0.000 0.000 2.671
P Ag
3 1
direct
0.000 0.500 0.500 P
0.500 0.000 0.500 P
0.500 0.500 0.000 P
0.000 0.000 0.000 Ag

=====

What is the formula in the third record?
LiY3U3Se8